CrSF: relaxed, PBE with a Hubbard U.

Cell lengths 5.918, 4.799, 9.837 Å; angles 90.00, 90.00, 90.00 degrees
Fractional positions:
Cr  0.947  0.250  0.672
Cr  0.064  0.250  0.000
Cr  0.947  0.250  0.328
Cr  0.447  0.750  0.172
Cr  0.564  0.750  0.500
Cr  0.447  0.750  0.828
S  0.320  0.250  0.188
S  0.139  0.750  0.000
S  0.639  0.250  0.500
S  0.320  0.250  0.812
S  0.820  0.750  0.312
S  0.820  0.750  0.688
F  0.823  0.250  0.859
F  0.323  0.750  0.641
F  0.823  0.250  0.141
F  0.323  0.750  0.359
F  0.617  0.750  0.000
F  0.117  0.250  0.500

For the calculated density, the calculation gives 3.67 Mg/m³. Its raw total energy is -107.0 eV for the cell shown. The space group is Imm2 (44). As for the magnetization: 18.00 Bohr magnetons per cell.